# 1
Computed, not measured: a relaxed structure of Ca2VSbH at the PBE-GGA level of DFT.

The structure in POSCAR format:
```
Ca2VSbH
1.0
6.112 0.000 0.000
0.000 3.893 0.000
0.000 0.000 6.112
Sb Ca V H
1 2 1 1
direct
0.000 0.000 0.000
0.500 0.000 0.000
0.000 0.000 0.500
0.500 0.500 0.500
0.000 0.500 0.000
```

Output
total magnetization: 4.91 μB per cell
DFT total energy: -3.62 eV per atom
ρ: 2.90 Mg/m³
density of states at the Fermi level: 2.7 states/eV/f.u.
SG: No. 123

# 2
Computed, not measured: a relaxed structure of Ca2SbHW at the PBE-GGA level of DFT.

The structure in POSCAR format:
```
Ca2SbHW
1.0
-2.282 -3.773 -4.079
1.972 -3.918 2.521
-5.039 -0.453 3.238
Sb Ca W H
1 2 1 1
direct
0.000 0.000 0.000
0.000 0.000 0.500
0.500 0.000 0.000
0.000 0.500 0.000
0.500 0.500 0.500
```

Output
total magnetization: 2.98 μB per cell
DFT total energy: -3.79 eV per atom
ρ: 3.52 Mg/m³
density of states at the Fermi level: 3.9 states/eV/f.u.
SG: No. 123

# 3
Computed, not measured: a relaxed structure of Ca2YSbH at the PBE-GGA level of DFT.

The structure in POSCAR format:
```
Ca2YSbH
1.0
4.882 0.000 0.000
0.000 4.882 0.000
0.000 0.000 4.877
Sb H Y Ca
1 1 1 2
direct
0.500 0.500 0.500
0.000 0.000 0.000
0.000 0.000 0.500
0.000 0.500 0.000
0.500 0.000 0.000
```

Output
total magnetization: 1.82 μB per cell
DFT total energy: -4.05 eV per atom
ρ: 4.17 Mg/m³
density of states at the Fermi level: 4.1 states/eV/f.u.
SG: No. 123

# 4
Computed, not measured: a relaxed structure of Ca2ZnSbH at the PBE-GGA level of DFT.

The structure in POSCAR format:
```
Ca2ZnSbH
1.0
-2.184 0.979 4.349
0.256 -4.807 1.211
3.867 0.658 1.794
H Zn Sb Ca
1 1 1 2
direct
0.000 0.000 0.000
0.000 0.000 0.500
0.500 0.500 0.500
0.000 0.500 0.000
0.500 0.000 0.000
```

Output
total magnetization: 0.00 μB per cell
DFT total energy: -3.06 eV per atom
ρ: 4.19 Mg/m³
density of states at the Fermi level: 1.1 states/eV/f.u.
SG: No. 123

# 5
Computed, not measured: a relaxed structure of CaZrSbH2 at the PBE-GGA level of DFT.

The structure in POSCAR format:
```
CaZrSbH2
1.0
-3.963 -0.500 -1.003
1.585 -4.951 -3.794
-0.477 -2.583 3.172
H Ca Sb Zr
2 1 1 1
direct
0.000 0.000 0.500
0.500 0.000 0.000
0.000 0.000 0.000
0.000 0.500 0.000
0.500 0.500 0.500
```

Output
total magnetization: 0.85 μB per cell
DFT total energy: -4.27 eV per atom
ρ: 3.88 Mg/m³
density of states at the Fermi level: 2.3 states/eV/f.u.
SG: No. 123

# 6
Computed, not measured: a relaxed structure of CaScH4 at the PBE-GGA level of DFT.

The structure in POSCAR format:
```
CaScH4
1.0
3.523 0.000 -0.001
0.000 3.523 -0.002
0.002 0.003 5.151
H Sc Ca
4 1 1
direct
0.001 0.497 0.720
0.501 0.997 0.720
0.001 0.497 0.276
0.501 0.997 0.276
0.001 0.997 0.498
0.501 0.497 0.998
```

Output
total magnetization: 0.00 μB per cell
DFT total energy: -4.19 eV per atom
ρ: 2.31 Mg/m³
density of states at the Fermi level: 2.1 states/eV/f.u.
SG: No. 123

# 7
Computed, not measured: a relaxed structure of Ca3ScH at the PBE-GGA level of DFT.

The structure in POSCAR format:
```
Ca3ScH
1.0
-2.998 2.675 -4.600
3.834 -2.575 -3.997
-3.690 -4.849 -0.415
Sc Ca H
1 3 1
direct
0.000 0.000 0.000
0.500 0.000 0.000
0.000 0.500 0.000
0.000 0.000 0.500
0.500 0.500 0.500
```

Output
total magnetization: 3.60 μB per cell
distance to the lowest polymorph of the same formula: 1.0863 eV/atom
DFT total energy: -2.03 eV per atom
ρ: 1.21 Mg/m³
density of states at the Fermi level: 4.1 states/eV/f.u.
SG: No. 221

# 8
Computed, not measured: a relaxed structure of CaScH at the PBE-GGA level of DFT.

The structure in POSCAR format:
```
CaScH
1.0
3.392 0.000 0.000
-1.696 2.934 0.000
0.000 0.000 11.819
H Sc Ca
2 2 2
direct
0.609 0.219 0.000
0.279 0.558 0.500
0.277 0.554 0.122
0.277 0.554 0.878
0.612 0.225 0.361
0.612 0.225 0.639
```

Output
total magnetization: 1.70 μB per cell
DFT total energy: -3.88 eV per atom
ρ: 2.43 Mg/m³
density of states at the Fermi level: 2.8 states/eV/f.u.
SG: No. 38

# 9
Computed, not measured: a relaxed structure of CaScH3 at the PBE-GGA level of DFT.

The structure in POSCAR format:
```
CaScH3
1.0
4.041 0.000 0.000
0.000 4.041 0.000
0.000 0.000 4.041
Sc H Ca
1 3 1
direct
0.500 0.500 0.500
0.000 0.500 0.000
0.000 0.000 0.500
0.500 0.000 0.000
0.000 0.000 0.000
```

Output
total magnetization: 0.32 μB per cell
distance to the lowest polymorph of the same formula: 0.4414 eV/atom
DFT total energy: -3.64 eV per atom
ρ: 2.22 Mg/m³
density of states at the Fermi level: 3.9 states/eV/f.u.
SG: No. 221

# 10
Computed, not measured: a relaxed structure of Ca3ScH at the PBE-GGA level of DFT.

The structure in POSCAR format:
```
Ca3ScH
1.0
5.167 0.000 0.000
0.000 5.167 0.000
0.000 0.000 5.167
H Ca Sc
1 3 1
direct
0.000 0.000 0.000
0.500 0.000 0.000
0.000 0.500 0.000
0.000 0.000 0.500
0.500 0.500 0.500
```

Output
total magnetization: 1.21 μB per cell
distance to the lowest polymorph of the same formula: 0.0000 eV/atom
DFT total energy: -3.12 eV per atom
ρ: 2.00 Mg/m³
density of states at the Fermi level: 8.1 states/eV/f.u.
SG: No. 221

# 11
Computed, not measured: a relaxed structure of CaScH3 at the PBE-GGA level of DFT.

The structure in POSCAR format:
```
CaScH3
1.0
-0.021 -3.292 2.205
0.680 -2.175 -3.241
3.903 0.361 0.576
H Sc Ca
3 1 1
direct
0.000 0.500 0.000
0.500 0.000 0.000
0.000 0.000 0.500
0.000 0.000 0.000
0.500 0.500 0.500
```

Output
total magnetization: 0.00 μB per cell
distance to the lowest polymorph of the same formula: 0.0000 eV/atom
DFT total energy: -4.08 eV per atom
ρ: 2.35 Mg/m³
density of states at the Fermi level: 2.5 states/eV/f.u.
SG: No. 221

# 12
Computed, not measured: a relaxed structure of Ca2ScSnH at the PBE-GGA level of DFT.

The structure in POSCAR format:
```
Ca2ScSnH
1.0
4.782 0.000 0.000
0.000 4.782 0.000
0.000 0.000 4.805
Sn Sc H Ca
1 1 1 2
direct
0.500 0.500 0.500
0.000 0.000 0.500
0.000 0.000 0.000
0.000 0.500 0.000
0.500 0.000 0.000
```

Output
total magnetization: 1.45 μB per cell
DFT total energy: -3.93 eV per atom
ρ: 3.70 Mg/m³
density of states at the Fermi level: 4.9 states/eV/f.u.
SG: No. 123